# SmZrGa6

A geometry-optimized SmZrGa6 structure (PBE-GGA, the Alexandria database).

Cell and atoms, written as POSCAR:
```
SmZrGa6
1.0
-0.684 -3.381 2.473
4.023 -1.228 -0.565
2.319 4.481 6.767
Sm Zr Ga
1 1 6
Direct
0.000 0.000 0.000 Sm
0.000 0.000 0.500 Zr
0.500 0.500 0.000 Ga
0.500 0.500 0.500 Ga
0.500 0.000 0.260 Ga
0.500 0.000 0.740 Ga
0.000 0.500 0.260 Ga
0.000 0.500 0.740 Ga
```

Output
Crystal system: tetragonal
Calculated formation energy: -499 meV per atom